4
Lattice="3.684 0.000 0.000 0.000 3.681 0.000 0.000 0.000 6.406" Properties=species:S:1:pos:R:3 comment="BaCu3, relaxed, DFT PBE-GGA" ef_ev_per_fu=0.79 space_group=P4mm dos_at_fermi_per_ev_atom=0.444 e_tot_ev_per_cell=-13.4 pbc="T T T"
Cu 1.842 1.840 4.595
Cu 0.000 1.840 2.980
Cu 1.842 0.000 2.978
Ba 0.000 0.000 0.124